[1]
NaNd2SmTe4 | PBE | relaxed

Computed properties:
As for the density of states at the Fermi level: 0.42 states/eV per atom. Its raw formation energy is -1.378 eV per atom. Its total magnetization is 0.0 μB/f.u. The calculation puts the total energy at -4.895 eV/atom.

Cell: 4.465 7.798 7.801 Å, 70.96 90.00 90.00°
Positions (direct):
1 Te 0.500 0.747 0.250
2 Te 0.000 0.255 0.250
3 Te 0.500 0.253 0.750
4 Te 0.000 0.745 0.750
5 Na 0.000 0.500 0.500
6 Nd 0.000 0.000 0.000
7 Nd 0.500 0.000 0.500
8 Sm 0.500 0.500 0.000


[2]
Na2NdSmTe4 | PBE | relaxed

Computed properties:
Its raw formation energy is -1.328 eV per atom. Its total magnetization is 0.0 μB/f.u. The calculation puts the total energy at -4.414 eV/atom.

Cell: 4.527 7.837 8.015 Å, 109.04 90.00 90.00°
Positions (direct):
1 Na 0.000 0.500 0.500
2 Na 0.500 0.000 0.500
3 Te 0.000 0.743 0.237
4 Te 0.500 0.249 0.239
5 Te 0.000 0.257 0.763
6 Te 0.500 0.751 0.761
7 Sm 0.500 0.500 0.000
8 Nd 0.000 0.000 0.000


[3]
NaNd4Sm3Te8 | PBE | relaxed

Computed properties:
As for the density of states at the Fermi level: 0.50 states/eV per atom. Its raw formation energy is -1.391 eV per atom. Its total magnetization is 0.0 μB/f.u. The calculation puts the total energy at -5.121 eV/atom.

Cell: 8.953 8.961 8.953 Å, 119.97 120.00 90.00°
Positions (direct):
1 Nd 0.000 0.000 0.500
2 Nd 0.000 0.000 0.000
3 Nd 0.500 0.000 0.500
4 Nd 0.500 0.000 0.000
5 Te 0.251 0.254 0.503
6 Te 0.749 0.746 0.497
7 Te 0.753 0.256 0.003
8 Te 0.247 0.744 0.494
9 Te 0.753 0.256 0.506
10 Te 0.250 0.256 0.003
11 Te 0.750 0.744 0.997
12 Te 0.247 0.744 0.997
13 Na 0.000 0.500 0.000
14 Sm 0.500 0.500 0.500
15 Sm 0.500 0.500 0.000
16 Sm 0.000 0.500 0.500